# 1
Here is crystalline K2CaSi at its relaxed geometry from the Alexandria database. Energies are from PBE.

Unit cell a=10.3840 b=10.3840 c=4.8467 alpha=76.60 beta=76.60 gamma=20.29
Fractional coordinates of all 4 atoms:
Ca (0.7500, 0.7500, 0.7500)
K (0.9019, 0.9019, 0.1001)
K (0.5981, 0.5981, 0.3999)
Si (0.2500, 0.2500, 0.2500)

Results
As for the final energy: -2.391 eV per atom. The calculation puts the uncorrected formation energy at 0.0134 eV per atom.

***

# 2
Here is crystalline KCaSi at its relaxed geometry from the Alexandria database. Energies are from PBE.

Unit cell a=5.2644 b=5.2644 c=4.2225 alpha=90.00 beta=90.00 gamma=120.00
Fractional coordinates of all 3 atoms:
Ca (0.0000, 0.0000, 0.8425)
K (0.6667, 0.3333, 0.3364)
Si (0.3333, 0.6667, 0.8211)

Results
As for the final energy: -2.660 eV per atom. The value obtained for the relative energy among the computed polymorphs is 52 kJ/mol of formula units. The calculation puts the uncorrected formation energy at 0.1805 eV per atom.

***

# 3
Here is crystalline KCa2Si at its relaxed geometry from the Alexandria database. Energies are from PBE.

Unit cell a=6.0826 b=6.0826 c=6.0826 alpha=131.89 beta=131.89 gamma=70.41
Site moments in Bohr magnetons follow the coordinates.
Fractional coordinates of all 4 atoms:
Ca (0.0000, 0.0000, 0.0000)  0.10
Ca (0.2500, 0.7500, 0.5000)  0.10
K (0.5000, 0.5000, 0.0000)  0.03
Si (0.7500, 0.2500, 0.5000)  0.00

Results
As for the final energy: -2.442 eV per atom. The calculation puts the uncorrected formation energy at 0.1893 eV per atom.

***

# 4
Here is crystalline K2CaSi at its relaxed geometry from the Alexandria database. Energies are from PBE.

Unit cell a=6.7666 b=6.7666 c=6.7666 alpha=138.34 beta=138.34 gamma=60.38
Fractional coordinates of all 4 atoms:
Ca (0.7500, 0.2500, 0.5000)
K (0.0000, 0.0000, 0.0000)
K (0.5000, 0.5000, 0.0000)
Si (0.2500, 0.7500, 0.5000)

Results
As for the final energy: -2.135 eV per atom. The calculation puts the uncorrected formation energy at 0.2704 eV per atom.

***

# 5
Here is crystalline K2CaSi at its relaxed geometry from the Alexandria database. Energies are from PBE.

Unit cell a=5.2823 b=5.2823 c=7.3154 alpha=68.99 beta=68.99 gamma=59.95
Fractional coordinates of all 4 atoms:
Ca (0.7892, 0.7892, 0.6321)
K (0.0252, 0.0252, 0.9264)
K (0.2292, 0.2292, 0.3105)
Si (0.4563, 0.4563, 0.6310)

Results
As for the final energy: -2.340 eV per atom. The calculation puts the uncorrected formation energy at 0.0648 eV per atom.

***

# 6
Here is crystalline KCaSi3 at its relaxed geometry from the Alexandria database. Energies are from PBE.

Unit cell a=5.4763 b=5.4763 c=5.4763 alpha=90.00 beta=90.00 gamma=90.00
Site moments in Bohr magnetons follow the coordinates.
Fractional coordinates of all 5 atoms:
Ca (0.0000, 0.0000, 0.0000)  0.09
Si (0.0000, 0.5000, 0.0000)  0.06
Si (0.0000, 0.0000, 0.5000)  0.05
Si (0.5000, 0.0000, 0.0000)  0.06
K (0.5000, 0.5000, 0.5000)  0.00

Results
As for the final energy: -2.886 eV per atom. The value obtained for the relative energy among the computed polymorphs is 0 kJ/mol of formula units. The calculation puts the uncorrected formation energy at 0.9878 eV per atom.

***

# 7
Here is crystalline KCa2Si at its relaxed geometry from the Alexandria database. Energies are from PBE.

Unit cell a=4.7471 b=4.7471 c=9.3601 alpha=75.15 beta=75.15 gamma=59.94
Fractional coordinates of all 4 atoms:
Ca (0.9563, 0.9563, 0.1280)
Ca (0.7101, 0.7101, 0.8690)
K (0.4997, 0.4997, 0.5068)
Si (0.3339, 0.3339, 0.9963)

Results
As for the final energy: -2.760 eV per atom. The calculation puts the uncorrected formation energy at -0.1289 eV per atom.

***

# 8
Here is crystalline K2CaSi at its relaxed geometry from the Alexandria database. Energies are from PBE.

Unit cell a=4.6944 b=4.6944 c=13.1868 alpha=79.75 beta=79.75 gamma=90.00
Fractional coordinates of all 8 atoms:
Ca (0.0000, 0.0000, 0.0000)
Ca (0.7500, 0.2500, 0.5000)
Si (0.5000, 0.5000, 0.0000)
Si (0.2500, 0.7500, 0.5000)
K (0.6030, 0.1250, 0.2500)
K (0.1470, 0.6250, 0.2500)
K (0.3750, 0.3970, 0.7500)
K (0.8750, 0.8530, 0.7500)

Results
As for the final energy: -2.053 eV per atom. The calculation puts the uncorrected formation energy at 0.3514 eV per atom.

***

- Among the records above, which one has the lowest final energy?
  KCaSi3